No. 1
First-principles (meta-GGA SCAN) data for a PBEsol-optimized structure of Sc7BCl12, as listed in Alexandria.

Cell: 8.0079 8.0079 8.0079 Å, 107.55 107.55 107.55°
Last column: nearest neighbours and their distance in Å.
Positions (direct):
Sc1 0.5000 0.5000 0.5000  6 Cl 2.52
Sc2 0.3158 0.1054 0.0317  1 B 2.32, 4 Cl 2.53-2.57
Sc3 0.1054 0.0317 0.3158  1 B 2.32, 4 Cl 2.53-2.57
Sc4 0.0317 0.3158 0.1054  1 B 2.32, 4 Cl 2.53-2.57
Sc5 0.6842 0.8946 0.9683  1 B 2.32, 4 Cl 2.53-2.57
Sc6 0.8946 0.9683 0.6842  1 B 2.32, 4 Cl 2.53-2.57
Sc7 0.9683 0.6842 0.8946  1 B 2.32, 4 Cl 2.53-2.57
B1 0.0000 0.0000 0.0000  6 Sc 2.32
Cl1 0.3137 0.7730 0.9232  3 Sc 2.53-2.70
Cl2 0.7730 0.9232 0.3137  3 Sc 2.53-2.70
Cl3 0.9232 0.3137 0.7730  3 Sc 2.53-2.70
Cl4 0.6863 0.2270 0.0768  3 Sc 2.53-2.70
Cl5 0.2270 0.0768 0.6863  3 Sc 2.53-2.70
Cl6 0.0768 0.6863 0.2270  3 Sc 2.53-2.70
Cl7 0.4658 0.1561 0.3861  3 Sc 2.52-2.57
Cl8 0.1561 0.3861 0.4658  3 Sc 2.52-2.57
Cl9 0.3861 0.4658 0.1561  3 Sc 2.52-2.57
Cl10 0.5342 0.8439 0.6139  3 Sc 2.52-2.57
Cl11 0.8439 0.6139 0.5342  3 Sc 2.52-2.57
Cl12 0.6139 0.5342 0.8439  3 Sc 2.52-2.57

Results
The space group is R-3. The density of states at the Fermi level comes out at 0.58 states/eV per atom. The value obtained for the uncorrected energy is -12.209 eV/atom.

No. 2
First-principles (meta-GGA SCAN) data for a PBEsol-optimized structure of ScB2Cl, as listed in Alexandria.

Cell: 5.1858 5.1858 5.1858 Å, 77.68 66.84 113.16°
Last column: nearest neighbours and their distance in Å.
Positions (direct):
Sc1 0.0000 0.0000 0.0000  4 B 2.45
Sc2 0.5000 0.2500 0.2500  4 B 2.45
B1 0.9311 0.1250 0.4439  2 Cl 1.94
B2 0.0689 0.6250 0.8061  2 Cl 1.94
B3 0.5689 0.4439 0.6250  2 Cl 1.94
B4 0.4311 0.8061 0.1250  2 Cl 1.94
Cl1 0.0000 0.5000 0.5000  4 B 1.94
Cl2 0.5000 0.7500 0.7500  4 B 1.94

Results
The space group is I-42d. The density of states at the Fermi level comes out at 0.16 states/eV per atom. The value obtained for the uncorrected energy is -8.251 eV/atom.

No. 3
First-principles (meta-GGA SCAN) data for a PBEsol-optimized structure of BSeCl2, as listed in Alexandria.

Cell: 3.0130 3.0130 9.9085 Å, 81.25 81.25 60.00°
Last column: nearest neighbours and their distance in Å.
Positions (direct):
B1 0.5000 0.5000 0.5000  6 Cl 2.15
Se1 0.0000 0.0000 0.0000  6 Se 3.01
Cl1 0.8766 0.8766 0.3701  3 B 2.15
Cl2 0.1234 0.1234 0.6299  3 B 2.15

Results
The space group is R-3m. The density of states at the Fermi level comes out at 0.64 states/eV per atom. The value obtained for the uncorrected energy is -10.268 eV/atom.

> Which of these has the lowest uncorrected energy?

Sc7BCl12

> What is the uncorrected energy in the third record?

-10.268 eV/atom